# LaPr15Y4

An optimized crystal structure of LaPr15Y4 (PBE, Alexandria).

POSCAR file:
```
LaPr15Y4
1.0
5.2234 0.0000 0.0000
0.0000 5.2234 0.0000
0.0000 0.0000 26.0283
La Pr Y
1 15 4
direct
0.0000 0.0000 0.0000 La
0.0000 0.5000 0.1020 Pr
0.0000 0.5000 0.3011 Pr
0.0000 0.5000 0.5000 Pr
0.0000 0.5000 0.6989 Pr
0.0000 0.5000 0.8980 Pr
0.5000 0.0000 0.1020 Pr
0.5000 0.0000 0.3011 Pr
0.5000 0.0000 0.5000 Pr
0.5000 0.0000 0.6989 Pr
0.5000 0.0000 0.8980 Pr
0.5000 0.5000 0.0000 Pr
0.5000 0.5000 0.2025 Pr
0.5000 0.5000 0.4006 Pr
0.5000 0.5000 0.5994 Pr
0.5000 0.5000 0.7975 Pr
0.0000 0.0000 0.2016 Y
0.0000 0.0000 0.4006 Y
0.0000 0.0000 0.5994 Y
0.0000 0.0000 0.7984 Y
```

Properties
total moment	0.000	μB per atom
space group	P4/mmm, No. 123
V	35.508	Å³ per atom
final energy	-0.3759	Ry/atom
Fermi-level density of states	29.5	states/eV/cell

# La3Pr6Y

An optimized crystal structure of La3Pr6Y (PBE, Alexandria).

POSCAR file:
```
La3Pr6Y
1.0
6.1402 -3.4860 0.0000
6.1402 3.4860 0.0000
-2.6880 0.0000 8.6099
La Pr Y
3 6 1
direct
0.0000 0.0000 0.0000 La
0.4737 0.4737 0.1778 La
0.5263 0.5263 0.8222 La
0.0280 0.4760 0.8204 Pr
0.3011 0.3011 0.4899 Pr
0.4760 0.0280 0.8204 Pr
0.5240 0.9720 0.1796 Pr
0.6989 0.6989 0.5101 Pr
0.9720 0.5240 0.1796 Pr
0.0000 0.0000 0.5000 Y
```

Properties
total moment	0.000	μB per atom
space group	C2/m, No. 12
V	36.858	Å³ per atom
excess energy over the best structure of this formula in the dataset	0.074	eV/atom
final energy	-0.3496	Ry/atom
Fermi-level density of states	16.2	states/eV/cell

# La5Pr2Y3

An optimized crystal structure of La5Pr2Y3 (PBE, Alexandria).

POSCAR file:
```
La5Pr2Y3
1.0
5.6058 -7.4300 0.0000
5.6058 7.4300 0.0000
-5.5776 0.0000 8.6481
La Pr Y
10 4 6
direct
0.0132 0.9868 0.7500 La
0.1256 0.3833 0.7514 La
0.2216 0.7784 0.7500 La
0.3833 0.1256 0.2514 La
0.4748 0.5252 0.2500 La
0.5252 0.4748 0.7500 La
0.6167 0.8744 0.7486 La
0.7784 0.2216 0.2500 La
0.8744 0.6167 0.2486 La
0.9868 0.0132 0.2500 La
0.0299 0.2833 0.0635 Pr
0.2833 0.0299 0.5635 Pr
0.7167 0.9701 0.4365 Pr
0.9701 0.7167 0.9365 Pr
0.2246 0.4761 0.4461 Y
0.2665 0.7335 0.2500 Y
0.4761 0.2246 0.9461 Y
0.5239 0.7754 0.0539 Y
0.7335 0.2665 0.7500 Y
0.7754 0.5239 0.5539 Y
```

Properties
total moment	0.000	μB per atom
space group	C2/c, No. 15
V	36.020	Å³ per atom
final energy	-0.3824	Ry/atom
Fermi-level density of states	35.2	states/eV/cell

# LaPrY2

An optimized crystal structure of LaPrY2 (PBE, Alexandria).

POSCAR file:
```
LaPrY2
1.0
3.6940 -5.0410 0.0000
3.6940 5.0410 0.0000
0.0000 0.0000 3.6968
La Pr Y
1 1 2
direct
0.0000 0.0000 0.0000 La
0.5000 0.5000 0.0000 Pr
0.0000 0.5000 0.5000 Y
0.5000 0.0000 0.5000 Y
```

Properties
total moment	0.000	μB per atom
space group	Cmmm, No. 65
V	34.420	Å³ per atom
excess energy over the best structure of this formula in the dataset	0.012	eV/atom
final energy	-0.4145	Ry/atom
Fermi-level density of states	6.8	states/eV/cell

# La4Pr6Y7

An optimized crystal structure of La4Pr6Y7 (PBE, Alexandria).

POSCAR file:
```
La4Pr6Y7
1.0
-5.3009 5.3009 5.3009
5.3009 -5.3009 5.3009
5.3009 5.3009 -5.3009
La Pr Y
4 6 7
direct
0.0000 0.0000 0.5000 La
0.0000 0.5000 0.0000 La
0.5000 0.0000 0.0000 La
0.5000 0.5000 0.5000 La
0.0000 0.2927 0.2927 Pr
0.0000 0.7073 0.7073 Pr
0.2927 0.0000 0.2927 Pr
0.2927 0.2927 0.0000 Pr
0.7073 0.0000 0.7073 Pr
0.7073 0.7073 0.0000 Pr
0.0000 0.0000 0.0000 Y
0.2500 0.5000 0.7500 Y
0.2500 0.7500 0.5000 Y
0.5000 0.2500 0.7500 Y
0.5000 0.7500 0.2500 Y
0.7500 0.2500 0.5000 Y
0.7500 0.5000 0.2500 Y
```

Properties
total moment	0.000	μB per atom
space group	Im-3m, No. 229
V	35.048	Å³ per atom
final energy	-0.3952	Ry/atom
Fermi-level density of states	27.0	states/eV/cell

# La2PrY

An optimized crystal structure of La2PrY (PBE, Alexandria).

POSCAR file:
```
La2PrY
1.0
1.8520 1.0692 11.9602
-1.8520 1.0692 11.9602
0.0000 -2.1385 11.9602
La Pr Y
2 1 1
direct
0.2485 0.2485 0.2485 La
0.7515 0.7515 0.7515 La
0.0000 0.0000 0.0000 Pr
0.5000 0.5000 0.5000 Y
```

Properties
total moment	0.000	μB per atom
space group	R-3m, No. 166
V	35.525	Å³ per atom
excess energy over the best structure of this formula in the dataset	0.000	eV/atom
final energy	-0.3870	Ry/atom
Fermi-level density of states	5.7	states/eV/cell

# La4PrY2

An optimized crystal structure of La4PrY2 (PBE, Alexandria).

POSCAR file:
```
La4PrY2
1.0
-3.5163 5.8331 6.1394
3.5163 -5.8331 6.1394
3.5163 5.8331 -6.1394
La Pr Y
8 2 4
direct
0.1528 0.1501 0.0027 La
0.2559 0.2222 0.4664 La
0.2559 0.7895 0.0336 La
0.3525 0.8499 0.5027 La
0.6475 0.1501 0.4973 La
0.7441 0.2105 0.9664 La
0.7441 0.7778 0.5336 La
0.8472 0.8499 0.9973 La
0.0000 0.0000 0.5000 Pr
0.0000 0.5000 0.0000 Pr
0.0000 0.5000 0.5000 Y
0.4658 0.7158 0.7500 Y
0.5000 0.5000 0.0000 Y
0.5342 0.2842 0.2500 Y
```

Properties
total moment	0.000	μB per atom
space group	Imma, No. 74
V	35.979	Å³ per atom
excess energy over the best structure of this formula in the dataset	0.150	eV/atom
final energy	-0.3770	Ry/atom
Fermi-level density of states	23.8	states/eV/cell

# La2Pr4Y5

An optimized crystal structure of La2Pr4Y5 (PBE, Alexandria).

POSCAR file:
```
La2Pr4Y5
1.0
9.9532 -2.9532 0.0000
9.9532 2.9532 0.0000
-0.3672 0.0000 6.5301
La Pr Y
2 4 5
direct
0.0966 0.0966 0.0416 La
0.9034 0.9034 0.9584 La
0.1944 0.1944 0.5736 Pr
0.4687 0.4687 0.2365 Pr
0.5313 0.5313 0.7635 Pr
0.8056 0.8056 0.4264 Pr
0.0000 0.0000 0.5000 Y
0.2863 0.2863 0.1064 Y
0.3666 0.3666 0.6319 Y
0.6334 0.6334 0.3681 Y
0.7137 0.7137 0.8936 Y
```

Properties
total moment	0.000	μB per atom
space group	C2/m, No. 12
V	34.899	Å³ per atom
excess energy over the best structure of this formula in the dataset	0.017	eV/atom
final energy	-0.4029	Ry/atom
Fermi-level density of states	20.0	states/eV/cell

# La3Pr4Y5

An optimized crystal structure of La3Pr4Y5 (PBE, Alexandria).

POSCAR file:
```
La3Pr4Y5
1.0
8.2098 -3.0436 0.0000
8.2098 3.0436 0.0000
-4.2446 0.0000 8.5245
La Pr Y
3 4 5
direct
0.0000 0.0000 0.0000 La
0.2910 0.2910 0.7707 La
0.7090 0.7090 0.2293 La
0.2914 0.2914 0.1198 Pr
0.4159 0.4159 0.5548 Pr
0.5841 0.5841 0.4452 Pr
0.7086 0.7086 0.8802 Pr
0.0717 0.0717 0.6988 Y
0.1712 0.1712 0.3895 Y
0.5000 0.5000 0.0000 Y
0.8288 0.8288 0.6105 Y
0.9283 0.9283 0.3012 Y
```

Properties
total moment	0.014	μB per atom
space group	C2/m, No. 12
V	35.501	Å³ per atom
excess energy over the best structure of this formula in the dataset	0.199	eV/atom
final energy	-0.3898	Ry/atom
Fermi-level density of states	19.4	states/eV/cell

# LaPrY2

An optimized crystal structure of LaPrY2 (PBE, Alexandria).

POSCAR file:
```
LaPrY2
1.0
0.0000 4.1112 4.1112
4.1112 0.0000 4.1112
4.1112 4.1112 0.0000
La Pr Y
1 1 2
direct
0.0000 0.0000 0.0000 La
0.5000 0.5000 0.5000 Pr
0.2500 0.2500 0.2500 Y
0.7500 0.7500 0.7500 Y
```

Properties
total moment	0.000	μB per atom
space group	Fm-3m, No. 225
V	34.745	Å³ per atom
excess energy over the best structure of this formula in the dataset	0.078	eV/atom
final energy	-0.4097	Ry/atom
Fermi-level density of states	7.2	states/eV/cell

# La4PrY10

An optimized crystal structure of La4PrY10 (PBE, Alexandria).

POSCAR file:
```
La4PrY10
1.0
-5.0086 5.0086 5.1430
5.0086 -5.0086 5.1430
5.0086 5.0086 -5.1430
La Pr Y
4 1 10
direct
0.0640 0.6719 0.7359 La
0.3281 0.0640 0.3922 La
0.6719 0.9360 0.6078 La
0.9360 0.3281 0.2641 La
0.0000 0.0000 0.0000 Pr
0.1300 0.2231 0.6814 Y
0.2231 0.5416 0.0931 Y
0.2500 0.7500 0.5000 Y
0.4486 0.1300 0.9069 Y
0.4584 0.5514 0.6814 Y
0.5416 0.4486 0.3186 Y
0.5514 0.8700 0.0931 Y
0.7500 0.2500 0.5000 Y
0.7769 0.4584 0.9069 Y
0.8700 0.7769 0.3186 Y
```

Properties
total moment	0.000	μB per atom
space group	I4/m, No. 87
V	34.405	Å³ per atom
final energy	-0.4111	Ry/atom
Fermi-level density of states	25.1	states/eV/cell

# La6Pr4Y

An optimized crystal structure of La6Pr4Y (PBE, Alexandria).

POSCAR file:
```
La6Pr4Y
1.0
-3.4404 3.4404 8.4386
3.4404 -3.4404 8.4386
3.4404 3.4404 -8.4386
La Pr Y
6 4 1
direct
0.0000 0.5000 0.5000 La
0.0434 0.7254 0.0000 La
0.2746 0.2746 0.3180 La
0.5000 0.0000 0.5000 La
0.7254 0.0434 0.0000 La
0.9566 0.9566 0.6820 La
0.1340 0.1340 0.6380 Pr
0.4961 0.4961 0.3620 Pr
0.5039 0.8660 0.0000 Pr
0.8660 0.5039 0.0000 Pr
0.5000 0.5000 0.0000 Y
```

Properties
total moment	0.000	μB per atom
space group	I-42m, No. 121
V	36.320	Å³ per atom
excess energy over the best structure of this formula in the dataset	0.000	eV/atom
final energy	-0.3515	Ry/atom
Fermi-level density of states	18.2	states/eV/cell

Repeat the second record exactly.
# La3Pr6Y

An optimized crystal structure of La3Pr6Y (PBE, Alexandria).

POSCAR file:
```
La3Pr6Y
1.0
6.1402 -3.4860 0.0000
6.1402 3.4860 0.0000
-2.6880 0.0000 8.6099
La Pr Y
3 6 1
direct
0.0000 0.0000 0.0000 La
0.4737 0.4737 0.1778 La
0.5263 0.5263 0.8222 La
0.0280 0.4760 0.8204 Pr
0.3011 0.3011 0.4899 Pr
0.4760 0.0280 0.8204 Pr
0.5240 0.9720 0.1796 Pr
0.6989 0.6989 0.5101 Pr
0.9720 0.5240 0.1796 Pr
0.0000 0.0000 0.5000 Y
```

Properties
total moment	0.000	μB per atom
space group	C2/m, No. 12
V	36.858	Å³ per atom
excess energy over the best structure of this formula in the dataset	0.074	eV/atom
final energy	-0.3496	Ry/atom
Fermi-level density of states	16.2	states/eV/cell

Q: Which formula does entry 2 have?
A: La3Pr6Y

Q: Look up the total moment of the eighth one.
A: 0.000 μB per atom